## Sr2UTe5 (PBE)

Data for an optimized crystal structure of Sr2UTe5.

Calculated values
- Raw formation energy: -0.800 eV per atom
- Uncorrected energy: -36.76 eV/cell
- V: 40.9 Å³ per atom

Cell lengths 7.658, 7.658, 5.585 Å; angles 90.00, 90.00, 90.00 degrees
Space group P4/mmm (No. 123)
Inequivalent atoms, fractional coordinates:
Sr 0.000 0.500 0.000 [2 per cell]
U 0.000 0.000 0.500 [1 per cell]
Te 0.000 0.000 0.000 [1 per cell]
Te 0.270 0.270 0.500 [4 per cell]


## Sr2UZnTe5 (PBE)

Data for an optimized crystal structure of Sr2UZnTe5.

Calculated values
- Raw formation energy: -1.051 eV per atom
- Uncorrected energy: -164.37 eV/cell
- V: 33.6 Å³ per atom

Cell lengths 4.451, 19.725, 13.778 Å; angles 90.00, 90.00, 90.00 degrees
Space group Cmc2_1 (No. 36)
Inequivalent atoms, fractional coordinates:
Sr 0.000 0.113 0.000 [4 per cell]
Sr 0.000 0.120 0.635 [4 per cell]
U 0.000 0.203 0.333 [4 per cell]
Zn 0.000 0.437 0.755 [4 per cell]
Te 0.000 0.050 0.364 [4 per cell]
Te 0.000 0.293 0.985 [4 per cell]
Te 0.000 0.306 0.677 [4 per cell]
Te 0.000 0.356 0.320 [4 per cell]
Te 0.000 0.499 0.587 [4 per cell]


## SrVTe3 (PBE)

Data for an optimized crystal structure of SrVTe3.

Calculated values
- Raw formation energy: 0.679 eV per atom
- Uncorrected energy: -16.83 eV/cell
- V: 45.1 Å³ per atom
- ΔE to the lowest computed polymorph: 1202.9 meV/atom

Cell lengths 6.086, 6.086, 6.086 Å; angles 90.00, 90.00, 90.00 degrees
Space group Pm-3m (No. 221)
Inequivalent atoms, fractional coordinates:
Sr 0.000 0.000 0.000 [1 per cell]
V 0.500 0.500 0.500 [1 per cell]
Te 0.000 0.000 0.500 [3 per cell]


## Sr3V5Te12 (PBE)

Data for an optimized crystal structure of Sr3V5Te12.

Calculated values
- Raw formation energy: -0.555 eV per atom
- Uncorrected energy: -795.44 eV/cell
- V: 32.6 Å³ per atom

Cell lengths 17.342, 17.342, 17.342 Å; angles 90.00, 90.00, 90.00 degrees
Space group Ia-3d (No. 230)
Inequivalent atoms, fractional coordinates:
Sr 0.000 0.250 0.125 [24 per cell]
V 0.000 0.000 0.000 [16 per cell]
V 0.000 0.250 0.375 [24 per cell]
Te 0.037 0.056 0.645 [96 per cell]


## Sr2VTe (PBE)

Data for an optimized crystal structure of Sr2VTe.

Calculated values
- Raw formation energy: 0.117 eV per atom
- Uncorrected energy: -60.62 eV/cell
- V: 37.6 Å³ per atom

Cell lengths 8.857, 8.857, 7.666 Å; angles 90.00, 90.00, 90.00 degrees
Space group I-42d (No. 122)
Inequivalent atoms, fractional coordinates:
Sr 0.240 0.250 0.125 [8 per cell]
V 0.000 0.000 0.500 [4 per cell]
Te 0.000 0.000 0.000 [4 per cell]


## SrV2Te2 (PBE)

Data for an optimized crystal structure of SrV2Te2.

Calculated values
- Raw formation energy: -0.045 eV per atom
- Uncorrected energy: -52.85 eV/cell
- V: 28.5 Å³ per atom
- ΔE to the lowest computed polymorph: 417.3 meV/atom

Cell lengths 8.516, 8.516, 3.933 Å; angles 90.00, 90.00, 90.00 degrees
Space group P4/mbm (No. 127)
Inequivalent atoms, fractional coordinates:
Sr 0.000 0.000 0.000 [2 per cell]
V 0.079 0.421 0.500 [4 per cell]
Te 0.156 0.656 0.000 [4 per cell]